(1)
Entry from Alexandria via LeMat-Bulk: a geometry-optimized TbCdAs2O8 structure (PBE-GGA).

Computed properties:
DFT total energy ... -6.18 eV/atom
Space-group type ... No. 82
DOS at the Fermi energy ... 0.60 states/eV/atom
Total magnetic moment ... 1.10 μB/f.u.

The structure in extended XYZ format:
```
12
Lattice="-4.136 -0.880 -2.791 2.476 -3.628 -2.526 -0.952 -1.659 6.533" Properties=species:S:1:pos:R:3 pbc="T T T"
Tb -2.959 -2.397 0.542
Cd 0.000 0.000 0.000
As -0.830 -2.254 -2.658
As 0.347 -3.771 0.675
O -1.083 -3.921 -3.068
O -1.150 -1.845 -1.003
O -1.336 -4.045 0.953
O 1.482 -4.700 1.588
O 0.626 -2.128 1.133
O 0.616 -4.210 -0.975
O -0.103 -3.580 3.595
O -2.889 -2.990 2.910
```



(2)
Entry from Alexandria via LeMat-Bulk: a geometry-optimized ScTcRhO2 structure (PBE-GGA).

Computed properties:
DFT total energy ... -7.32 eV/atom
Space-group type ... No. 123
DOS at the Fermi energy ... 0.51 states/eV/atom
Total magnetic moment ... 0.75 μB/f.u.

The structure in extended XYZ format:
```
5
Lattice="3.756 0.000 0.000 0.000 5.964 0.000 0.000 0.000 3.756" Properties=species:S:1:pos:R:3 pbc="T T T"
Sc 0.000 2.982 0.000
Rh 1.878 2.982 1.878
Tc 0.000 0.000 0.000
O 0.000 0.000 1.878
O 1.878 0.000 0.000
```



(3)
Entry from Alexandria via LeMat-Bulk: a geometry-optimized Tb3Sm3TmSe8 structure (PBE-GGA).

Computed properties:
DFT total energy ... -5.88 eV/atom
Space-group type ... No. 166
DOS at the Fermi energy ... 0.44 states/eV/atom
Total magnetic moment ... 0.00 μB/f.u.

The structure in extended XYZ format:
```
15
Lattice="8.216 0.000 0.000 -4.108 7.115 -0.025 0.000 -4.720 6.762" Properties=species:S:1:pos:R:3 pbc="T T T"
Tb 4.108 -2.360 3.381
Tb 2.054 1.197 3.369
Tb -2.054 1.197 3.369
Sm 0.000 0.000 0.000
Sm -2.054 3.558 -0.012
Sm 2.054 3.558 -0.012
Tm 0.000 -2.360 3.381
Se 0.000 2.378 1.722
Se 4.108 0.017 5.015
Se 4.108 2.377 1.722
Se 0.000 0.018 5.016
Se 6.161 -1.179 1.734
Se -2.053 3.574 5.003
Se 2.055 -1.179 1.734
Se 2.053 3.574 5.003
```



(4)
Entry from Alexandria via LeMat-Bulk: a geometry-optimized TaTcMo2 structure (PBE-GGA).

Computed properties:
E_form ... -0.174 eV/atom
Space-group type ... No. 99
DOS at the Fermi energy ... 0.74 states/eV/atom
Energy relative to the lowest polymorph listed for this composition ... 4.3 meV/atom
Total magnetic moment ... 0.00 μB/f.u.

The structure in extended XYZ format:
```
4
Lattice="3.176 0.000 0.000 0.000 3.176 0.000 0.000 0.000 6.371" Properties=species:S:1:pos:R:3 pbc="T T T"
Mo 0.000 0.000 0.017
Mo 1.588 1.588 1.547
Tc 1.588 1.588 4.788
Ta 0.000 0.000 3.205
```



(5)
Entry from Alexandria via LeMat-Bulk: a geometry-optimized LuMnRu2 structure (PBE-GGA).

Computed properties:
E_form ... -0.095 eV/atom
Space-group type ... No. 225
DOS at the Fermi energy ... 1.07 states/eV/atom
Energy relative to the lowest polymorph listed for this composition ... 39.8 meV/atom
Total magnetic moment ... 2.91 μB/f.u.

The structure in extended XYZ format:
```
4
Lattice="4.481 0.000 0.000 2.241 3.881 0.000 2.241 1.294 3.659" Properties=species:S:1:pos:R:3 pbc="T T T"
Ru 2.241 1.294 0.915
Ru 6.722 3.881 2.744
Lu 0.000 0.000 0.000
Mn 4.481 2.587 1.829
```



(6)
Entry from Alexandria via LeMat-Bulk: a geometry-optimized Zn2CdSb structure (PBE-GGA).

Computed properties:
Space-group type ... No. 123
DOS at the Fermi energy ... 0.47 states/eV/atom
Energy relative to the lowest polymorph listed for this composition ... 87.5 meV/atom
Total magnetic moment ... 0.00 μB/f.u.

The structure in extended XYZ format:
```
4
Lattice="-3.072 1.752 -1.446 -1.157 -3.300 -1.539 -3.009 -1.231 4.900" Properties=species:S:1:pos:R:3 pbc="T T T"
Cd -2.867 -1.082 -0.268
Sb -4.371 -1.697 2.183
Zn -2.977 -1.218 4.848
Zn -1.537 -0.629 2.503
```



(7)
Entry from Alexandria via LeMat-Bulk: a geometry-optimized Ac3NdSb4 structure (PBE-GGA).

Computed properties:
Space-group type ... No. 65
DOS at the Fermi energy ... 0.09 states/eV/atom
Energy relative to the lowest polymorph listed for this composition ... 0.0 meV/atom
Total magnetic moment ... 0.00 μB/f.u.

The structure in extended XYZ format:
```
8
Lattice="4.737 0.000 0.000 0.000 8.199 -0.075 0.000 -2.656 7.757" Properties=species:S:1:pos:R:3 pbc="T T T"
Ac 0.000 -1.328 3.879
Ac 2.368 2.771 3.841
Ac 0.000 4.099 -0.038
Nd 2.368 0.000 0.000
Sb 0.000 1.333 1.848
Sb 2.368 5.540 1.844
Sb 0.000 4.210 5.834
Sb 2.368 0.003 5.838
```



(8)
Entry from Alexandria via LeMat-Bulk: a geometry-optimized K4Pu3AlO8 structure (PBE-GGA).

Computed properties:
DFT total energy ... -7.94 eV/atom
Space-group type ... No. 166
DOS at the Fermi energy ... 0.95 states/eV/atom
Total magnetic moment ... 14.98 μB/f.u.

The structure in extended XYZ format:
```
16
Lattice="6.879 0.000 0.000 0.000 7.390 0.339 -3.439 -3.426 4.874" Properties=species:S:1:pos:R:3 pbc="T T T"
K 3.439 0.000 0.000
K 1.720 -1.713 2.437
K 0.000 0.000 0.000
K -1.720 -1.713 2.437
Pu 3.439 3.695 0.169
Pu 1.720 1.982 2.606
Pu -1.720 1.982 2.606
Al 0.000 3.695 0.169
O -1.912 1.668 4.949
O 0.000 3.572 2.241
O 0.000 0.416 2.719
O 1.912 1.668 4.949
O 1.527 2.296 0.264
O 3.439 3.547 2.493
O 3.439 0.391 2.971
O 5.352 2.296 0.264
```



(9)
Entry from Alexandria via LeMat-Bulk: a geometry-optimized Rb12Ag5Au3 structure (PBE-GGA).

Computed properties:
E_form ... 0.065 eV/atom
Space-group type ... No. 230
DOS at the Fermi energy ... 0.75 states/eV/atom
Total magnetic moment ... 0.00 μB/f.u.

The structure in extended XYZ format:
```
80
Lattice="-6.989 5.049 -15.858 12.955 -12.262 -2.765 -12.982 -7.177 10.285" Properties=species:S:1:pos:R:3 pbc="T T T"
Au -2.007 -1.709 -11.645
Au 1.978 -5.676 -14.664
Au -1.018 -11.789 -1.592
Au -4.996 -2.962 -0.453
Au -7.742 1.091 -11.650
Au 2.230 -7.565 -5.103
Au -9.247 -6.826 -3.234
Au 0.726 -15.481 3.313
Au -2.020 -11.428 -7.885
Au -5.998 -2.602 -6.746
Au -8.994 -8.714 6.326
Au -5.010 -12.682 3.307
Ag 0.739 -5.761 -0.448
Ag 6.477 -6.131 -1.382
Ag 0.000 0.000 0.000
Ag -1.005 -2.069 -5.352
Ag -9.986 -1.064 -2.787
Ag 2.983 -3.607 -9.312
Ag 3.974 -11.257 -0.199
Ag -14.982 -4.026 -3.240
Ag -2.013 -6.569 -9.765
Ag -10.738 -5.022 1.422
Ag 3.722 -9.368 -9.759
Ag -3.508 -7.195 -4.169
Ag -3.495 2.524 -7.929
Ag -6.491 -3.589 5.143
Ag -5.003 -7.822 1.427
Ag 7.966 -10.364 -5.098
Ag -0.013 -9.720 3.760
Ag -10.991 -3.134 -8.139
Ag -6.011 -12.321 -2.985
Ag -7.755 -8.629 -7.890
Rb -4.104 1.669 -11.340
Rb -0.597 -8.198 -2.364
Rb -5.358 -1.703 -13.205
Rb -2.631 -0.935 -8.084
Rb -3.473 -10.743 -4.555
Rb -1.383 -3.535 -14.798
Rb 2.479 -10.709 -3.175
Rb 9.466 -11.634 -2.354
Rb -0.521 -13.505 -4.828
Rb 0.398 -4.881 -11.417
Rb -4.420 -4.203 -9.680
Rb 5.471 -7.549 -15.104
Rb 1.306 -12.249 1.615
Rb 1.659 -4.030 -6.024
Rb 6.507 -13.487 -0.296
Rb -8.597 -3.709 -0.833
Rb -1.397 -3.267 0.334
Rb 4.619 -6.551 -8.131
Rb 2.390 -8.852 -12.818
Rb 3.319 -4.829 -2.415
Rb -0.359 -15.264 -0.519
Rb -1.084 -7.727 -6.733
Rb -2.949 -9.463 -11.228
Rb -12.883 -6.598 -3.856
Rb -5.933 -6.663 -1.604
Rb -4.067 -4.927 2.890
Rb 5.867 -7.793 -4.481
Rb -9.406 -5.538 4.480
Rb -6.657 0.874 -7.819
Rb -10.335 -9.562 -5.923
Rb -11.636 -7.840 -0.207
Rb 1.580 -10.682 -7.504
Rb -5.619 -11.123 -8.672
Rb -13.523 -0.904 -8.042
Rb -8.322 -2.142 -9.953
Rb -12.487 -6.842 6.767
Rb -8.675 -10.360 -2.314
Rb -6.495 -0.885 -3.510
Rb -7.415 -9.509 3.080
Rb -2.597 -10.188 1.342
Rb -16.482 -2.756 -5.984
Rb -9.495 -3.682 -5.163
Rb -4.385 -13.455 -0.253
Rb -5.633 -10.856 6.461
Rb -3.543 -3.647 -3.782
Rb -1.658 -12.687 4.867
Rb -6.419 -6.192 -5.974
Rb -2.912 -16.060 3.003
```



(10)
Entry from Alexandria via LeMat-Bulk: a geometry-optimized Zr2ScCu structure (PBE-GGA).

Computed properties:
E_form ... 0.072 eV/atom
Space-group type ... No. 47
DOS at the Fermi energy ... 1.20 states/eV/atom
Energy relative to the lowest polymorph listed for this composition ... 187.4 meV/atom
Total magnetic moment ... 0.00 μB/f.u.

The structure in extended XYZ format:
```
4
Lattice="3.232 0.000 0.000 0.000 4.878 0.000 0.000 0.000 5.174" Properties=species:S:1:pos:R:3 pbc="T T T"
Cu 1.616 0.000 2.587
Sc 0.000 2.439 2.587
Zr 0.000 0.000 0.000
Zr 1.616 2.439 0.000
```



(11)
Entry from Alexandria via LeMat-Bulk: a geometry-optimized Ca3YC structure (PBE-GGA).

Computed properties:
E_form ... 0.375 eV/atom
Space-group type ... No. 221
DOS at the Fermi energy ... 0.92 states/eV/atom
Energy relative to the lowest polymorph listed for this composition ... 0.0 meV/atom
Total magnetic moment ... 0.00 μB/f.u.

The structure in extended XYZ format:
```
5
Lattice="-0.026 3.956 3.421 -5.218 -0.254 0.254 0.358 -3.411 3.948" Properties=species:S:1:pos:R:3 pbc="T T T"
Y -2.443 0.146 3.812
Ca -2.609 -0.127 0.127
Ca 0.179 -1.706 1.974
Ca -0.013 1.978 1.710
C 0.000 0.000 0.000
```



(12)
Entry from Alexandria via LeMat-Bulk: a geometry-optimized LaTiRe3 structure (PBE-GGA).

Computed properties:
E_form ... 1.199 eV/atom
Space-group type ... No. 221
DOS at the Fermi energy ... 1.17 states/eV/atom
Energy relative to the lowest polymorph listed for this composition ... 0.0 meV/atom
Total magnetic moment ... 2.11 μB/f.u.

The structure in extended XYZ format:
```
5
Lattice="-3.781 0.579 -2.759 0.032 -4.607 -1.010 -2.819 -0.829 3.690" Properties=species:S:1:pos:R:3 pbc="T T T"
Re 0.016 -2.303 -0.505
Re -1.409 -0.414 1.845
Re -1.891 0.289 -1.379
Ti 0.000 0.000 0.000
La -3.284 -2.428 -0.040
```



(13)
Entry from Alexandria via LeMat-Bulk: a geometry-optimized CrAg2Ru structure (PBE-GGA).

Computed properties:
E_form ... 0.496 eV/atom
Space-group type ... No. 12
DOS at the Fermi energy ... 0.91 states/eV/atom
Energy relative to the lowest polymorph listed for this composition ... 219.8 meV/atom
Total magnetic moment ... 2.41 μB/f.u.

The structure in extended XYZ format:
```
4
Lattice="5.085 -0.045 0.023 4.296 2.720 0.023 0.814 0.232 4.579" Properties=species:S:1:pos:R:3 pbc="T T T"
Ag 0.828 0.236 4.575
Ag 5.083 1.449 2.316
Cr 2.549 0.727 1.156
Ru 7.646 2.180 3.468
```



(14)
Entry from Alexandria via LeMat-Bulk: a geometry-optimized TlRh2W structure (PBE-GGA).

Computed properties:
E_form ... 0.536 eV/atom
Space-group type ... No. 122
DOS at the Fermi energy ... 0.99 states/eV/atom
Energy relative to the lowest polymorph listed for this composition ... 549.9 meV/atom
Total magnetic moment ... 0.00 μB/f.u.

The structure in extended XYZ format:
```
8
Lattice="7.282 0.000 0.000 0.000 7.282 0.000 3.641 3.641 2.853" Properties=species:S:1:pos:R:3 pbc="T T T"
Tl 0.000 0.000 0.000
Tl 7.282 3.641 1.427
Rh 5.113 1.821 0.713
Rh 2.169 5.462 0.713
Rh 5.462 5.810 2.140
Rh 9.103 8.755 2.140
W 3.641 3.641 0.000
W 3.641 7.282 1.427
```



(15)
Entry from Alexandria via LeMat-Bulk: a geometry-optimized Y5TmZn6 structure (PBE-GGA).

Computed properties:
E_form ... -0.359 eV/atom
Space-group type ... No. 65
DOS at the Fermi energy ... 1.11 states/eV/atom
Total magnetic moment ... 0.00 μB/f.u.

The structure in extended XYZ format:
```
12
Lattice="4.785 -0.029 1.595 0.038 7.153 0.013 -0.002 -0.014 7.983" Properties=species:S:1:pos:R:3 pbc="T T T"
Y 3.212 3.548 6.380
Y 1.598 -0.014 3.181
Y 0.019 3.576 0.006
Y 3.185 -0.029 6.397
Y 1.610 3.562 3.211
Zn 4.022 5.356 3.981
Zn 4.002 1.739 3.974
Zn 2.402 1.753 0.801
Zn 2.421 5.371 0.807
Zn 0.819 5.370 5.617
Zn 0.799 1.754 5.610
Tm 0.000 0.000 0.000
```



(16)
Entry from Alexandria via LeMat-Bulk: a geometry-optimized TlPbF4 structure (PBE-GGA).

Computed properties:
DFT total energy ... -4.31 eV/atom
Space-group type ... No. 70
DOS at the Fermi energy ... 0.19 states/eV/atom
Total magnetic moment ... 0.00 μB/f.u.

The structure in extended XYZ format:
```
12
Lattice="-2.487 -5.345 0.099 1.647 -0.649 5.624 -4.727 5.425 -1.074" Properties=species:S:1:pos:R:3 pbc="T T T"
Tl -2.415 2.832 4.128
Tl -3.152 -3.402 0.521
Pb -1.085 -1.054 3.283
Pb -4.482 0.485 1.365
F -6.816 -0.075 0.378
F -4.719 2.258 3.246
F -2.140 1.102 2.298
F -3.426 -1.671 2.351
F -1.314 0.776 5.109
F -0.847 -2.827 1.403
F -4.253 -1.346 -0.460
F 1.250 -0.494 4.271
```



(17)
Entry from Alexandria via LeMat-Bulk: a geometry-optimized Hf2ThZr structure (PBE-GGA).

Computed properties:
E_form ... 0.119 eV/atom
Space-group type ... No. 123
DOS at the Fermi energy ... 1.35 states/eV/atom
Energy relative to the lowest polymorph listed for this composition ... 0.0 meV/atom
Total magnetic moment ... 0.00 μB/f.u.

The structure in extended XYZ format:
```
4
Lattice="4.656 0.000 0.000 0.000 4.615 0.000 0.000 0.000 4.615" Properties=species:S:1:pos:R:3 pbc="T T T"
Hf 0.000 0.000 2.308
Hf 0.000 2.308 0.000
Zr 2.328 0.000 0.000
Th 2.328 2.308 2.308
```



(18)
Entry from Alexandria via LeMat-Bulk: a geometry-optimized Ba2CaInPt structure (PBE-GGA).

Computed properties:
E_form ... -0.441 eV/atom
Space-group type ... No. 123
DOS at the Fermi energy ... 1.05 states/eV/atom
Energy relative to the lowest polymorph listed for this composition ... 0.0 meV/atom
Total magnetic moment ... 0.01 μB/f.u.

The structure in extended XYZ format:
```
5
Lattice="-4.562 3.956 1.130 0.896 -0.691 6.038 3.635 4.209 -0.058" Properties=species:S:1:pos:R:3 pbc="T T T"
Ca 1.818 2.104 -0.029
Ba 0.448 -0.346 3.019
Ba -2.281 1.978 0.565
Pt 0.000 0.000 0.000
In -0.016 3.737 3.555
```



(19)
Entry from Alexandria via LeMat-Bulk: a geometry-optimized Cs2RhSeBr6 structure (PBE-GGA).

Computed properties:
DFT total energy ... -3.04 eV/atom
Space-group type ... No. 139
DOS at the Fermi energy ... 0.56 states/eV/atom
Total magnetic moment ... 0.00 μB/f.u.

The structure in extended XYZ format:
```
10
Lattice="-0.655 -7.764 0.618 7.024 -0.321 3.414 0.904 -3.472 6.761" Properties=species:S:1:pos:R:3 pbc="T T T"
Cs 1.717 -7.639 4.698
Cs 5.556 -3.918 6.095
Rh 0.000 0.000 0.000
Se 3.184 -4.042 2.016
Br 2.019 -3.751 4.442
Br 5.254 -7.806 6.351
Br 1.479 -1.877 0.936
Br 4.890 -6.207 3.095
Br 1.128 -6.036 1.267
Br 5.241 -2.049 2.764
```



(20)
Entry from Alexandria via LeMat-Bulk: a geometry-optimized CaTh2CoN4 structure (PBE-GGA).

Computed properties:
DFT total energy ... -8.14 eV/atom
Space-group type ... No. 63
DOS at the Fermi energy ... 0.25 states/eV/atom
Total magnetic moment ... 1.16 μB/f.u.

The structure in extended XYZ format:
```
16
Lattice="-1.697 -1.197 2.952 3.022 -5.164 -2.563 9.741 2.433 6.585" Properties=species:S:1:pos:R:3 pbc="T T T"
Ca 7.998 -0.011 4.593
Ca 3.068 -3.917 2.382
Th 6.945 -2.916 2.810
Th 0.193 -1.993 1.509
Th 4.121 -1.012 4.165
Th 10.873 -1.935 5.465
Co 7.919 -2.648 5.684
Co 3.148 -1.280 1.290
N 2.235 -2.708 0.186
N 6.178 -1.883 4.994
N 8.832 -1.220 6.788
N 4.888 -2.045 1.980
N 4.870 1.217 3.293
N 0.000 0.000 0.000
N 8.939 -2.504 4.122
N 2.128 -1.423 2.852
```



(21)
Entry from Alexandria via LeMat-Bulk: a geometry-optimized Pr2GeAs3Ir4 structure (PBE-GGA).

Computed properties:
E_form ... -0.748 eV/atom
Space-group type ... No. 115
DOS at the Fermi energy ... 0.54 states/eV/atom
Total magnetic moment ... 0.00 μB/f.u.

The structure in extended XYZ format:
```
10
Lattice="4.276 0.000 0.000 0.000 4.276 0.000 0.000 0.000 10.252" Properties=species:S:1:pos:R:3 pbc="T T T"
Pr 2.138 0.000 2.589
Pr 0.000 2.138 7.664
Ge 2.138 2.138 5.126
As 0.000 0.000 5.126
As 2.138 0.000 8.838
As 0.000 2.138 1.415
Ir 2.138 2.138 0.000
Ir 0.000 0.000 0.000
Ir 2.138 0.000 6.397
Ir 0.000 2.138 3.856
```